Model A:
The following is a DFT calculation (PBE+U) of crystalline RuWI2O at its relaxed geometry.

The structure in CIF format:
```
data_RuWI2O
_chemical_formula_sum 'Ru1 W1 I2 O1'
_space_group_name_H-M_alt 'P 1'
_space_group_IT_number 1
_cell_length_a 5.587
_cell_length_b 5.587
_cell_length_c 3.754
_cell_angle_alpha 90.00
_cell_angle_beta 90.00
_cell_angle_gamma 90.00
loop_
_space_group_symop_operation_xyz
'x,y,z'
loop_
_atom_site_label
_atom_site_fract_x
_atom_site_fract_y
_atom_site_fract_z
_atom_site_occupancy
I1 0.500 0.000 0.000 1
I2 0.000 0.500 0.000 1
W1 0.500 0.500 0.500 1
O1 0.000 0.000 0.500 1
Ru1 0.000 0.000 0.000 1
```

Model B:
The following is a DFT calculation (PBE+U) of crystalline RuWI2O at its relaxed geometry.

The structure in CIF format:
```
data_RuWI2O
_chemical_formula_sum 'Ru1 W1 I2 O1'
_space_group_name_H-M_alt 'P 1'
_space_group_IT_number 1
_cell_length_a 5.776
_cell_length_b 5.776
_cell_length_c 3.820
_cell_angle_alpha 90.00
_cell_angle_beta 90.00
_cell_angle_gamma 90.00
loop_
_space_group_symop_operation_xyz
'x,y,z'
loop_
_atom_site_label
_atom_site_fract_x
_atom_site_fract_y
_atom_site_fract_z
_atom_site_occupancy
I1 0.000 0.500 0.000 1
I2 0.500 0.000 0.000 1
W1 0.000 0.000 0.000 1
O1 0.000 0.000 0.500 1
Ru1 0.500 0.500 0.500 1
```

The least stable of them is model B.